Material: CsGaBi3
Method: DFT, GGA-PBEsol
State: relaxed

a b c (Å): 5.613 5.613 5.613
angles (deg): 90.00 90.00 90.00
Element x y z (fractional)
Cs (0.000, 0.000, 0.000)
Ga (0.500, 0.500, 0.500)
Bi (0.000, 0.500, 0.500)
Bi (0.500, 0.000, 0.500)
Bi (0.500, 0.500, 0.000)

total magnetic moment	0.0	μB/f.u.
symmetry	Pm-3m
ΔE_f	60.9	kJ/mol of formula units